# 1
Compound: La2ZnSn2
Source: Alexandria
Functional: PBE
Structure: optimized geometry

a b c (Å): 4.7328 6.4224 10.3841
angles (deg): 86.67 76.83 68.38
Positions (direct):
La  0.7069  0.2312  0.3550
La  0.8867  0.2998  0.9268
La  0.2931  0.7688  0.6450
La  0.1133  0.7002  0.0732
Zn  0.4968  0.2780  0.7285
Zn  0.5032  0.7220  0.2715
Sn  0.0521  0.3100  0.5857
Sn  0.6243  0.8828  0.8687
Sn  0.9479  0.6900  0.4142
Sn  0.3757  0.1172  0.1313

Output
space-group type = C2/m
crystal system = monoclinic


# 2
Compound: La5Zn2Sn2
Source: Alexandria
Functional: PBE
Structure: optimized geometry

a b c (Å): 8.3015 8.3441 9.2339
angles (deg): 116.86 90.00 90.00
Positions (direct):
La  0.0000  0.0000  0.0000
La  0.5000  0.5000  0.0000
La  0.8239  0.8191  0.2776
La  0.1761  0.4585  0.2776
La  0.3239  0.9585  0.2776
La  0.6761  0.3191  0.2776
La  0.1761  0.1809  0.7224
La  0.8239  0.5415  0.7224
La  0.6761  0.0415  0.7224
La  0.3239  0.6809  0.7224
Zn  0.6155  0.8867  0.0000
Zn  0.3845  0.1133  0.0000
Zn  0.1155  0.6133  0.0000
Zn  0.8845  0.3867  0.0000
Sn  0.0000  0.2098  0.4195
Sn  0.5000  0.7098  0.4195
Sn  0.0000  0.7902  0.5805
Sn  0.5000  0.2902  0.5805

Output
space-group type = Cmce
crystal system = orthorhombic


no.,ΔH_f (0 K) (meV/atom),magnetization (μB/f.u.)
1,-677,0.00
2,-443,0.00